No. 1
Here is crystalline Ac6Cd2Fe at its relaxed geometry from the Alexandria database. Energies are from PBE.

```
data_Ac6Cd2Fe
_cell_length_a 7.8782
_cell_length_b 7.7552
_cell_length_c 13.3417
_cell_angle_alpha 90.00
_cell_angle_beta 125.80
_cell_angle_gamma 90.00
_space_group_name_H-M_alt 'P 1 21/c 1'
_space_group_IT_number 14
loop_
_space_group_symop_operation_xyz
'x,y,z'
'-x,-y,-z'
'-x,y+1/2,-z+1/2'
'x,-y+1/2,z+1/2'
loop_
_atom_site_label
_atom_site_fract_x
_atom_site_fract_y
_atom_site_fract_z
Ac1 0.1785 0.9998 0.2502
Ac2 0.2811 0.2482 0.5373
Ac3 0.2856 0.7479 0.5373
Cd1 0.2592 0.5029 0.2568
Fe1 0.0000 0.0000 0.0000
```

Calculated total energy = -3.9370 eV/atom

---

No. 2
Here is crystalline Y3Er7Tm at its relaxed geometry from the Alexandria database. Energies are from PBE.

```
data_Y3Er7Tm
_cell_length_a 12.5231
_cell_length_b 11.0772
_cell_length_c 5.7400
_cell_angle_alpha 90.00
_cell_angle_beta 117.22
_cell_angle_gamma 90.00
_space_group_name_H-M_alt 'C 1 2/m 1'
_space_group_IT_number 12
loop_
_space_group_symop_operation_xyz
'x,y,z'
'-x,-y,-z'
'-x,y,-z'
'x,-y,z'
'x+1/2,y+1/2,z'
'-x+1/2,-y+1/2,-z'
'-x+1/2,y+1/2,-z'
'x+1/2,-y+1/2,z'
loop_
_atom_site_label
_atom_site_fract_x
_atom_site_fract_y
_atom_site_fract_z
Y1 0.0000 0.0000 0.0000
Y2 0.0000 0.2078 0.5000
Er1 0.0000 0.5000 0.5000
Er2 0.2000 0.2007 0.1998
Er3 0.2101 0.0000 0.7093
Tm1 0.0000 0.5000 0.0000
```

Calculated total energy = -4.7831 eV/atom

---

No. 3
Here is crystalline CeDy2Cd8 at its relaxed geometry from the Alexandria database. Energies are from PBE.

```
data_CeDy2Cd8
_cell_length_a 8.2985
_cell_length_b 15.9441
_cell_length_c 5.3430
_cell_angle_alpha 90.00
_cell_angle_beta 129.93
_cell_angle_gamma 90.00
_space_group_name_H-M_alt 'C 1 2/m 1'
_space_group_IT_number 12
loop_
_space_group_symop_operation_xyz
'x,y,z'
'-x,-y,-z'
'-x,y,-z'
'x,-y,z'
'x+1/2,y+1/2,z'
'-x+1/2,-y+1/2,-z'
'-x+1/2,y+1/2,-z'
'x+1/2,-y+1/2,z'
loop_
_atom_site_label
_atom_site_fract_x
_atom_site_fract_y
_atom_site_fract_z
Ce1 0.0000 0.0000 0.0000
Dy1 0.0000 0.3099 0.5000
Cd1 0.0000 0.2027 0.0000
Cd2 0.0000 0.5000 0.2515
Cd3 0.2321 0.1305 0.7329
```

Calculated total energy = -2.2673 eV/atom

---

No. 4
Here is crystalline Ca3DyAl8 at its relaxed geometry from the Alexandria database. Energies are from PBE.

```
data_Ca3DyAl8
_cell_length_a 5.6504
_cell_length_b 5.6504
_cell_length_c 9.1579
_cell_angle_alpha 90.00
_cell_angle_beta 90.00
_cell_angle_gamma 120.00
_space_group_name_H-M_alt 'P 3 m 1'
_space_group_IT_number 156
loop_
_space_group_symop_operation_xyz
'x,y,z'
'-y,x-y,z'
'-x+y,-x,z'
'-y,-x,z'
'-x+y,y,z'
'x,x-y,z'
loop_
_atom_site_label
_atom_site_fract_x
_atom_site_fract_y
_atom_site_fract_z
Ca1 0.0000 0.0000 0.0000
Ca2 0.0000 0.0000 0.3665
Ca3 0.3333 0.6667 0.8678
Dy1 0.3333 0.6667 0.5013
Al1 0.0089 0.5045 0.1868
Al2 0.3260 0.1630 0.6801
Al3 0.6667 0.3333 0.4342
Al4 0.6667 0.3333 0.9348
```

Calculated total energy = -3.7382 eV/atom

---

Respective calculated formation energy values: -0.0543, 0.2899, -0.2255, -0.3592 eV per atom.
Respective N(E_F) values: 9.77, 15.90, 12.94, 6.31 states/eV/f.u..